Computed, not measured: an optimized crystal structure of Ho2ErScS6 at the GGA-PBE level of DFT.

```
data_Ho2ErScS6
_chemical_formula_sum 'Ho6 Er3 Sc3 S18'
_cell_length_a 6.7700
_cell_length_b 6.7700
_cell_length_c 18.1899
_cell_angle_alpha 90.00
_cell_angle_beta 90.00
_cell_angle_gamma 120.00
_symmetry_space_group_name_H-M 'R 3'
_symmetry_Int_Tables_number 146
_symmetry_space_group_name_Hall 'R 3'
loop_
_atom_site_label
_atom_site_type_symbol
_atom_site_fract_x
_atom_site_fract_y
_atom_site_fract_z
Ho1 Ho 0.0000 0.0000 0.0000
Ho2 Ho 0.0000 0.0000 0.4978
Er1 Er 0.0000 0.0000 0.1995
Sc1 Sc 0.0000 0.0000 0.6965
S1 S 0.0355 0.3484 0.7670
S2 S 0.0405 0.6741 0.2691
```

energy	-194.7	eV/cell
raw formation energy	-2.010	eV/atom
total magnetic moment	0.00	μB/atom
D(E_F)	0.00	states/eV/f.u.